A plane-wave DFT calculation with PBE-GGA was carried out for crystalline PmOsCl at its relaxed geometry.

total magnetization	0.00	μB/f.u.
density of states at the Fermi level	0.30	states/eV/atom
space-group type	No. 36
density	8725	kg/m³
energy relative to the elements, uncorrected	-792	meV per atom
volume	23.52	Å³ per atom
total energy	-6.7343	eV per atom

Cell: 7.9759 7.9759 4.1867 Å, 90.00 90.00 148.01°
Closest atoms and distances in Å follow each position.
Element x y z (fractional)
Pm 0.1040 0.8960 0.5000  3 Cl 2.95-3.10, 6 Os 3.10-3.23
Pm 0.8960 0.1040 0.0000  3 Cl 2.95-3.10, 6 Os 3.10-3.23
Os 0.4612 0.5388 0.5138  2 Os 2.41, 1 Cl 2.59
Os 0.5388 0.4612 0.0138  2 Os 2.41, 1 Cl 2.59
Cl 0.2991 0.7009 0.6916  1 Os 2.59
Cl 0.7009 0.2991 0.1916  1 Os 2.59